A relaxed structure of Pr2MoPbO6, computed with PBE with a Hubbard U.

```
10
Lattice="-3.6111 -2.8519 3.3381 -1.8791 -2.8142 -4.4370 3.8785 -3.9219 0.8450" Properties=species:S:1:pos:R:3 pbc="T T T"
Pb -0.9309 -4.8928 -0.0113
Pr -4.4619 -4.1890 1.0376
O 0.5701 -3.7074 -1.3989
Pr -1.5831 -4.7428 3.6786
O -1.1722 -7.3245 -0.2583
O -3.2629 -5.2104 -0.7138
O -0.9296 -0.7341 0.8593
O -0.1593 -5.8075 2.1335
O -2.2500 -3.6934 1.6780
Mo -2.1019 -1.6600 1.9430
```

Properties
The total moment is 0.0 μB/f.u. The calculation puts the volume at 17.70 Å³/atom. The energy comes out at -71.1 eV/cell.